Here is a geometry-optimized Zr2TiAu2 structure from the Alexandria database. Energies are from PBE.

a = 7.798 Å, b = 7.798 Å, c = 3.418 Å
α = 90.00°, β = 90.00°, γ = 90.00°
Last column: magnetic moment on the atom in μB.
Fractional positions:
Zr1 0.666 0.166 0.000  -0.04
Zr2 0.334 0.834 0.000  -0.04
Zr3 0.834 0.666 0.000  -0.04
Zr4 0.166 0.334 0.000  -0.05
Au1 0.367 0.133 0.500  -0.02
Au2 0.867 0.367 0.500  -0.02
Au3 0.633 0.867 0.500  -0.02
Au4 0.133 0.633 0.500  -0.02
Ti1 0.500 0.500 0.000  0.80
Ti2 0.000 0.000 0.000  0.80

Summary:
DOS(E_F) ... 6.2 states/eV per cell
DFT formation energy ... -0.75 eV per formula unit
Energy relative to the lowest polymorph listed for this composition ... 151 meV per atom